# 1
First-principles (PBE) data for a relaxed HoTm4In4 crystal, as listed in Alexandria.

```
HoTm4In4
1.0
7.116 0.000 0.000
0.000 7.116 0.000
0.000 0.000 10.504
In Tm Ho
8 8 2
direct
0.000 0.280 0.715
0.500 0.780 0.785
0.780 0.500 0.215
0.720 0.000 0.285
0.000 0.720 0.715
0.280 0.000 0.285
0.500 0.220 0.785
0.220 0.500 0.215
0.000 0.729 0.417
0.729 0.000 0.583
0.771 0.500 0.917
0.271 0.000 0.583
0.000 0.271 0.417
0.500 0.771 0.083
0.500 0.229 0.083
0.229 0.500 0.917
0.000 0.000 0.000
0.500 0.500 0.500
```

## Properties
- Crystal system: tetragonal
- Symmetry: P4_2/nmc (137)

=====

# 2
First-principles (PBE) data for a relaxed Ho4Tm3In4 crystal, as listed in Alexandria.

```
Ho4Tm3In4
1.0
-4.155 -2.377 -0.361
2.075 -4.631 6.615
-2.516 8.968 1.813
In Ho Tm
4 4 3
direct
0.789 0.289 0.578
0.500 0.177 0.000
0.211 0.711 0.422
0.500 0.823 0.000
0.671 0.878 0.343
0.329 0.122 0.657
0.671 0.465 0.343
0.329 0.535 0.657
0.119 0.119 0.237
0.881 0.881 0.763
0.000 0.500 0.000
```

## Properties
- Crystal system: orthorhombic
- Symmetry: Immm (71)

=====

# 3
First-principles (PBE) data for a relaxed Ho7TmIn4 crystal, as listed in Alexandria.

```
Ho7TmIn4
1.0
5.653 0.000 0.000
2.827 8.665 0.631
2.827 0.831 7.210
Ho In Tm
7 4 1
direct
0.210 0.121 0.459
0.065 0.600 0.269
0.935 0.400 0.731
0.729 0.327 0.216
0.500 0.000 0.000
0.271 0.673 0.784
0.790 0.879 0.541
0.442 0.748 0.368
0.558 0.252 0.632
0.319 0.336 0.026
0.681 0.664 0.974
0.000 0.000 0.000
```

## Properties
- Crystal system: monoclinic
- Symmetry: C2/m (12)

=====

# 4
First-principles (PBE) data for a relaxed Ho8Tm2In crystal, as listed in Alexandria.

```
Ho8Tm2In
1.0
-0.447 5.152 -1.848
-0.569 -2.185 -5.955
-9.329 -3.292 1.237
Ho Tm In
8 2 1
direct
0.045 0.736 0.090
0.579 0.405 0.159
0.955 0.264 0.910
0.154 0.196 0.308
0.421 0.595 0.841
0.662 0.879 0.324
0.338 0.121 0.676
0.846 0.804 0.692
0.243 0.664 0.486
0.757 0.336 0.514
0.500 0.000 0.000
```

## Properties
- Crystal system: monoclinic
- Symmetry: C2/m (12)
- ΔE to the lowest computed polymorph: 0.00 eV/f.u.

=====

# 5
First-principles (PBE) data for a relaxed Ho3Tm2In crystal, as listed in Alexandria.

```
Ho3Tm2In
1.0
-3.378 4.325 2.634
-5.076 -1.182 -4.567
-1.683 -7.992 3.940
Ho Tm In
6 4 2
direct
0.139 0.500 0.279
0.684 0.250 0.000
0.316 0.750 0.000
0.139 0.000 0.279
0.861 0.000 0.721
0.861 0.500 0.721
0.701 0.750 0.372
0.670 0.250 0.372
0.299 0.250 0.628
0.330 0.750 0.628
0.805 0.750 0.000
0.195 0.250 0.000
```

## Properties
- Crystal system: orthorhombic
- Symmetry: Cmcm (63)
- ΔE to the lowest computed polymorph: 0.42 eV/f.u.

=====

# 6
First-principles (PBE) data for a relaxed HoTm3In4 crystal, as listed in Alexandria.

```
HoTm3In4
1.0
5.444 0.000 0.000
0.000 7.107 0.000
0.000 0.000 10.669
In Tm Ho
8 6 2
direct
0.500 0.248 0.000
0.500 0.752 0.000
0.087 0.248 0.750
0.913 0.248 0.250
0.087 0.752 0.750
0.500 0.752 0.500
0.913 0.752 0.250
0.500 0.248 0.500
0.580 0.000 0.750
0.576 0.500 0.750
0.420 0.000 0.250
0.424 0.500 0.250
0.000 0.000 0.500
0.000 0.000 0.000
0.000 0.500 0.500
0.000 0.500 0.000
```

## Properties
- Crystal system: orthorhombic
- Symmetry: Pmma (51)

=====

# 7
First-principles (PBE) data for a relaxed HoTm3In3 crystal, as listed in Alexandria.

```
HoTm3In3
1.0
9.215 0.000 0.000
0.000 9.215 0.000
0.000 0.000 9.215
In Tm Ho
12 12 4
direct
0.105 0.506 0.292
0.292 0.105 0.506
0.605 0.994 0.708
0.494 0.792 0.395
0.006 0.208 0.895
0.208 0.895 0.006
0.895 0.006 0.208
0.792 0.395 0.494
0.994 0.708 0.605
0.506 0.292 0.105
0.708 0.605 0.994
0.395 0.494 0.792
0.888 0.888 0.888
0.388 0.612 0.112
0.112 0.388 0.612
0.168 0.832 0.332
0.303 0.803 0.697
0.803 0.697 0.303
0.697 0.303 0.803
0.332 0.168 0.832
0.197 0.197 0.197
0.668 0.668 0.668
0.832 0.332 0.168
0.612 0.112 0.388
0.946 0.054 0.554
0.054 0.554 0.946
0.446 0.446 0.446
0.554 0.946 0.054
```

## Properties
- Crystal system: cubic
- Symmetry: P2_13 (198)
- ΔE to the lowest computed polymorph: 0.26 eV/f.u.

=====

# 8
First-principles (PBE) data for a relaxed Ho3Tm2In7 crystal, as listed in Alexandria.

```
Ho3Tm2In7
1.0
4.653 0.000 0.000
0.000 4.811 0.000
0.000 -2.405 14.999
In Ho Tm
7 3 2
direct
0.000 0.275 0.550
0.000 0.577 0.154
0.000 0.423 0.846
0.000 0.000 0.000
0.500 0.922 0.844
0.500 0.078 0.156
0.000 0.725 0.450
0.500 0.500 0.000
0.500 0.647 0.294
0.500 0.353 0.706
0.000 0.841 0.683
0.000 0.159 0.317
```

## Properties
- Crystal system: orthorhombic
- Symmetry: Cmmm (65)

=====

no.,energy relative to the elements (kJ/mol of atoms),M_tot (μB/f.u.)
1,-10.6,0.00
2,-14.2,0.00
3,-7.5,0.00
4,-5.2,0.00
5,-9.0,0.23
6,-41.6,0.00
7,-27.7,0.00
8,-20.1,0.99